[1]
DFT (PBE) results for an optimized crystal structure of Nd3SmHo2.

```
Nd3SmHo2
1.0
-1.693 -3.073 -0.148
4.090 -2.070 -3.812
4.169 -0.749 9.541
Nd Sm Ho
3 1 2
Cartesian
2.045 -1.035 -1.906
4.516 -4.624 2.694
2.050 -1.268 2.887
0.000 0.000 0.000
2.672 -3.483 0.096
3.894 -2.409 5.485
```

Properties
D(E_F) = 11.13 states/eV per cell
Energy relative to the elements = 333.1 meV per atom

=====

[2]
DFT (PBE) results for an optimized crystal structure of Nd8Sm3Ho4.

```
Nd8Sm3Ho4
1.0
-6.546 1.372 1.739
1.910 -9.171 0.173
5.744 -0.041 7.402
Nd Sm Ho
8 3 4
Cartesian
-2.790 -1.663 3.580
3.041 -6.479 2.305
0.518 -1.975 2.220
-0.418 -6.233 2.826
1.525 -1.607 6.489
0.590 -5.865 7.094
4.613 -2.733 5.271
3.897 -6.177 5.734
-2.318 -3.899 0.956
-0.401 0.665 4.571
0.554 -3.920 4.657
-3.273 0.686 0.869
0.955 -4.585 0.087
0.000 0.000 0.000
2.872 -0.021 3.701
```

Properties
D(E_F) = 23.32 states/eV per cell
Energy relative to the elements = 329.7 meV per atom